[1]
Computed, not measured: an optimized crystal structure of GaCuSn2Bi at the PBE level of DFT.

Values from the calculation:
DOS at the Fermi energy ... 2.82 states/eV/cell
E_form ... 0.143 eV/atom
Energy above the most stable polymorph in this dataset ... 0.0 kJ/mol of atoms
Crystal system ... tetragonal

a = 5.221 Å, b = 5.221 Å, c = 4.711 Å
α = 90.00°, β = 90.00°, γ = 90.00°
Positions (direct):
Cu: 0.000 0.000 0.000
Bi: 0.500 0.500 0.500
Ga: 0.000 0.000 0.500
Sn: 0.000 0.500 0.000
Sn: 0.500 0.000 0.000

[2]
Computed, not measured: an optimized crystal structure of AlGa2Sn2Rh5 at the PBE level of DFT.

Values from the calculation:
DOS at the Fermi energy ... 5.84 states/eV/cell
E_form ... -0.489 eV/atom
Crystal system ... tetragonal

a = 3.000 Å, b = 10.439 Å, c = 10.439 Å
α = 90.00°, β = 90.00°, γ = 90.00°
Positions (direct):
Al: 0.000 0.000 0.000
Al: 0.000 0.500 0.500
Ga: 0.000 0.143 0.643
Ga: 0.000 0.857 0.357
Ga: 0.000 0.643 0.857
Ga: 0.000 0.357 0.143
Sn: 0.000 0.655 0.155
Sn: 0.000 0.345 0.845
Sn: 0.000 0.155 0.345
Sn: 0.000 0.845 0.655
Rh: 0.500 0.158 0.128
Rh: 0.500 0.842 0.872
Rh: 0.500 0.128 0.842
Rh: 0.500 0.658 0.372
Rh: 0.500 0.872 0.158
Rh: 0.500 0.342 0.628
Rh: 0.500 0.628 0.658
Rh: 0.500 0.372 0.342
Rh: 0.500 0.500 0.000
Rh: 0.500 0.000 0.500

[3]
Computed, not measured: an optimized crystal structure of MnMo2Os at the PBE level of DFT.

Values from the calculation:
DOS at the Fermi energy ... 3.06 states/eV/cell
E_form ... 0.092 eV/atom
Energy above the most stable polymorph in this dataset ... 0.2 kJ/mol of atoms
Crystal system ... cubic

a = 4.370 Å, b = 4.370 Å, c = 4.370 Å
α = 60.00°, β = 60.00°, γ = 60.00°
Site moments in Bohr magnetons follow the coordinates.
Positions (direct):
Mn: 0.500 0.500 0.500  2.82
Mo: 0.000 0.000 0.000  0.13
Mo: 0.250 0.250 0.250  -0.36
Os: 0.750 0.750 0.750  0.15